A relaxed structure of PrAgHgPt, computed with PBE.

Output
The raw total energy comes out at -3.9469 eV per atom. As for the space group: F-43m (216).

a b c (Å): 5.005 5.005 5.005
angles (deg): 60.00 60.00 60.00
Fractional positions:
Pt1 0.750 0.750 0.750
Hg1 0.500 0.500 0.500
Ag1 0.250 0.250 0.250
Pr1 0.000 0.000 0.000

***

A relaxed structure of Be2ZnAu8, computed with PBE.

Output
The raw total energy comes out at -3.2771 eV per atom. The distance to the lowest polymorph of the same formula is 0.000 eV per atom. As for the space group: C2/m (12).

a b c (Å): 3.981 6.398 7.731
angles (deg): 109.52 104.92 90.00
Fractional positions:
Zn1 0.500 0.000 0.000
Au1 0.404 0.527 0.808
Au2 0.037 0.765 0.073
Be1 0.811 0.309 0.623
Au3 0.963 0.235 0.927
Au4 0.322 0.037 0.645
Au5 0.807 0.688 0.615
Au6 0.678 0.963 0.355
Au7 0.596 0.473 0.192
Au8 0.193 0.312 0.385
Be2 0.189 0.691 0.377

***

A relaxed structure of YZrTc2, computed with PBE.

Output
The raw total energy comes out at -8.4120 eV per atom. As for the space group: I-42d (122).

a b c (Å): 7.432 7.432 6.012
angles (deg): 51.82 51.82 90.00
Fractional positions:
Y1 0.500 0.500 0.000
Tc1 0.108 0.625 0.250
Zr1 0.000 0.000 0.000
Tc2 0.375 0.358 0.750
Zr2 0.750 0.250 0.500
Tc3 0.875 0.892 0.750
Y2 0.250 0.750 0.500
Tc4 0.642 0.125 0.250

***

A relaxed structure of CrCuSi2, computed with PBE.

Output
The raw total energy comes out at -6.1446 eV per atom. Its formation energy (no corrections) is -3 meV/atom. As for the space group: Cm (8).

a b c (Å): 4.706 4.706 4.265
angles (deg): 83.00 83.00 31.75
Fractional positions:
Cu1 0.244 0.244 0.223
Si1 0.999 0.999 0.034
Si2 0.758 0.758 0.710
Cr1 0.499 0.499 0.533

***

A relaxed structure of La2HoP3Rh4, computed with PBE.

Output
The raw total energy comes out at -7.1021 eV per atom. As for the space group: P-4m2 (115).

a b c (Å): 4.061 4.061 11.279
angles (deg): 90.00 90.00 90.00
Fractional positions:
La1 0.000 0.500 0.772
La2 0.500 0.000 0.228
Rh1 0.000 0.500 0.332
Rh2 0.000 0.000 0.000
P1 0.000 0.500 0.122
Ho1 0.500 0.500 0.500
P2 0.500 0.000 0.878
Rh3 0.500 0.500 0.000
P3 0.000 0.000 0.500
Rh4 0.500 0.000 0.668

***

A relaxed structure of VTe2P2, computed with PBE.

Output
The raw total energy comes out at -5.0988 eV per atom. Its formation energy (no corrections) is 146 meV/atom. The distance to the lowest polymorph of the same formula is 0.000 eV per atom. As for the space group: I4/mmm (139).

a b c (Å): 3.272 3.272 11.401
angles (deg): 81.75 81.75 90.00
Fractional positions:
P1 0.250 0.750 0.500
P2 0.750 0.250 0.500
Te1 0.425 0.425 0.149
Te2 0.575 0.575 0.851
V1 0.000 0.000 0.000